#P
CsAsSe2Cl | GGA-PBE | optimized geometry

Values from the calculation:
M_tot: 1.390 Bohr magnetons per cell

abc: 5.749 5.749 9.258
angles: 90.00 90.00 90.00
Atoms (fractional coordinates):
As (0.000, 0.000, 0.500)
Se (0.500, 0.000, 0.000)
Se (0.000, 0.500, 0.000)
Cl (0.500, 0.500, 0.500)
Cs (0.000, 0.000, 0.000)

=====

#Q
CsAsSe2Cl | GGA-PBE | optimized geometry

Values from the calculation:
M_tot: 1.967 Bohr magnetons per cell

abc: 5.582 5.582 5.075
angles: 90.00 90.00 90.00
Atoms (fractional coordinates):
Cl (0.000, 0.000, 0.000)
As (0.000, 0.000, 0.500)
Cs (0.500, 0.500, 0.500)
Se (0.500, 0.000, 0.000)
Se (0.000, 0.500, 0.000)

=====

Pick the least stable structure from those above. Pick: #P